# 1
# Cs2CaGeI6

Crystalline Cs2CaGeI6 at its relaxed geometry (PBE, the Alexandria database).

Computed properties:
The final energy is -0.109 hartree per atom. The value obtained for the energy above the most stable polymorph in this dataset is 0.000 eV per atom. The uncorrected formation energy comes out at -1194 meV/atom.

Unit cell a=6.1073 b=6.1073 c=12.2818 alpha=90.00 beta=90.00 gamma=90.00
Positions (direct):
Cs  0.0000  0.0000  0.2427
Cs  0.0000  0.0000  0.7573
Ca  0.5000  0.5000  0.5000
Ge  0.5000  0.5000  0.0000
I  0.0000  0.5000  0.0000
I  0.0000  0.5000  0.5000
I  0.5000  0.0000  0.0000
I  0.5000  0.0000  0.5000
I  0.5000  0.5000  0.2434
I  0.5000  0.5000  0.7566



# 2
# Ac3La4Pr

Crystalline Ac3La4Pr at its relaxed geometry (PBE, the Alexandria database).

Computed properties:
The final energy is -0.168 hartree per atom. The value obtained for the energy above the most stable polymorph in this dataset is 0.000 eV per atom. For the formation enthalpy at 0 K, the calculation gives 20 meV per atom.

Unit cell a=6.6187 b=6.6187 c=10.8712 alpha=114.33 beta=114.33 gamma=48.26
Positions (direct):
Ac  0.0000  0.0000  0.0000
Ac  0.4981  0.4981  0.2547
Ac  0.5019  0.5019  0.7453
La  0.2495  0.2495  0.3775
La  0.2502  0.2502  0.8719
La  0.7498  0.7498  0.1281
La  0.7505  0.7505  0.6225
Pr  0.0000  0.0000  0.5000



# 3
# AlOsPt4

Crystalline AlOsPt4 at its relaxed geometry (PBE, the Alexandria database).

Computed properties:
The final energy is -0.226 hartree per atom. For the formation enthalpy at 0 K, the calculation gives 378 meV per atom.

Unit cell a=5.2005 b=5.2005 c=5.2005 alpha=60.00 beta=60.00 gamma=60.00
Positions (direct):
Al  0.0000  0.0000  0.0000
Os  0.7500  0.7500  0.7500
Pt  0.3754  0.3754  0.3754
Pt  0.3754  0.3754  0.8739
Pt  0.3754  0.8739  0.3754
Pt  0.8739  0.3754  0.3754



# 4
# ErTmAgRh

Crystalline ErTmAgRh at its relaxed geometry (PBE, the Alexandria database).

Computed properties:
The final energy is -0.200 hartree per atom. The value obtained for the energy above the most stable polymorph in this dataset is 0.000 eV per atom. For the formation enthalpy at 0 K, the calculation gives -636 meV per atom.

Unit cell a=3.4583 b=3.4583 c=7.1596 alpha=90.00 beta=90.00 gamma=90.00
Positions (direct):
Er  0.0000  0.0000  0.0000
Tm  0.0000  0.0000  0.5434
Ag  0.5000  0.5000  0.2741
Rh  0.5000  0.5000  0.7699